Computed, not measured: a crystal of CuGeSbTe2 relaxed with PBEsol at the meta-GGA SCAN level of DFT.

a b c (Å): 5.1864 5.3222 5.3222
angles (deg): 90.00 90.00 90.00
Fractional positions:
Sb (0.5000, 0.0000, 0.0000)
Ge (0.0000, 0.0000, 0.0000)
Te (0.0000, 0.0000, 0.5000)
Te (0.0000, 0.5000, 0.0000)
Cu (0.5000, 0.5000, 0.5000)

**Total energy**: -28.2587 eV/atom
**Density**: 5.8 g/cm3
**Formation energy without anion corrections**: 91.79 kJ/mol of atoms
**DOS(E_F)**: 0.756 states/eV per atom